Record 1
First-principles (SCAN) data for Re2TeRuC at its PBEsol-relaxed geometry, as listed in Alexandria via LeMat-Bulk.

abc: 3.9759 4.8491 4.8491
angles: 90.00 90.00 90.00
Last column: nearest neighbours and their distance in Å.
Element x y z (fractional)
Re 0.0000 0.5000 0.0000  2 Te 2.42
Re 0.0000 0.0000 0.5000  2 Te 2.42
Te 0.0000 0.0000 0.0000  2 C 1.99
C 0.5000 0.0000 0.0000  2 Te 1.99
Ru 0.5000 0.5000 0.5000  8 Re 3.14, 4 C 3.43

Values from the calculation:
Formation energy without anion corrections in eV/atom: 3.24
DFT total energy in eV/cell: -208.2
Mass density in g cm⁻³: 10.9
V in Å³ per cell: 93.5
Fermi-level density of states in states/eV/f.u.: 4.37
Spin magnetization in μB per cell: 2.98
Relative energy among the computed polymorphs in eV per atom: 2.089



Record 2
First-principles (SCAN) data for SrAl2Ag at its PBEsol-relaxed geometry, as listed in Alexandria via LeMat-Bulk.

abc: 4.4091 4.4091 6.2788
angles: 69.44 69.44 60.00
Last column: nearest neighbours and their distance in Å.
Element x y z (fractional)
Ag 0.5000 0.5000 0.5000  6 Al 2.62
Al 0.2033 0.2033 0.3902  3 Ag 2.62, 3 Al 2.84
Al 0.7967 0.7967 0.6098  3 Ag 2.62, 3 Al 2.84
Sr 0.0000 0.0000 0.0000  8 Al 3.39-3.50

Values from the calculation:
DFT total energy in eV/cell: -70.2
Mass density in g cm⁻³: 4.3
V in Å³ per cell: 96.6
ΔH_f (0 K) in eV/atom: -0.266
Fermi-level density of states in states/eV/f.u.: 2.82
Spin magnetization in μB per cell: 0.02



Record 3
First-principles (SCAN) data for SnGeIr2 at its PBEsol-relaxed geometry, as listed in Alexandria via LeMat-Bulk.

abc: 4.4777 4.4777 4.4777
angles: 60.00 60.00 60.00
Last column: nearest neighbours and their distance in Å.
Element x y z (fractional)
Ge 0.0000 0.0000 0.0000  8 Ir 2.74
Ir 0.7500 0.7500 0.7500  4 Ge 2.74, 4 Sn 2.74
Ir 0.2500 0.2500 0.2500  4 Sn 2.74, 4 Ge 2.74
Sn 0.5000 0.5000 0.5000  8 Ir 2.74

Values from the calculation:
DFT total energy in eV/cell: -196.4
Mass density in g cm⁻³: 15.1
V in Å³ per cell: 63.5
ΔH_f (0 K) in eV/atom: 0.207
Fermi-level density of states in states/eV/f.u.: 1.76
Spin magnetization in μB per cell: 1.32



Record 4
First-principles (SCAN) data for Co15O28 at its PBEsol-relaxed geometry, as listed in Alexandria via LeMat-Bulk.

abc: 7.3765 7.8815 8.3703
angles: 103.75 104.71 105.40
Last column: nearest neighbours and their distance in Å.
Element x y z (fractional)
O 0.3788 0.8443 0.9220  3 Co 1.82-1.86
O 0.2389 0.4131 0.3487  3 Co 1.85-1.86
O 0.7362 0.4102 0.8534  3 Co 1.83-1.85
O 0.9493 0.5522 0.2092  3 Co 1.82-1.86
O 0.1693 0.7003 0.5682  3 Co 1.83-1.86
O 0.0924 0.9896 0.7923  4 Co 1.89-2.01
O 0.3439 0.3084 0.9321  3 Co 1.85
O 0.6212 0.1557 0.0780  3 Co 1.82-1.86
O 0.9740 0.7365 0.0064  4 Co 1.89-2.05
O 0.5231 0.2703 0.4961  3 Co 1.84-1.86
O 0.2638 0.5898 0.1466  3 Co 1.83-1.85
O 0.2949 0.1238 0.1298  4 Co 1.89-2.01
O 0.0260 0.2635 0.9936  4 Co 1.89-2.05
O 0.1847 0.8702 0.3635  3 Co 1.83-1.87
O 0.4769 0.7297 0.5039  3 Co 1.84-1.86
O 0.5932 0.9841 0.2834  3 Co 1.82-1.86
O 0.8774 0.8404 0.4264  3 Co 1.82-1.86
O 0.7051 0.8762 0.8702  4 Co 1.89-2.01
O 0.1226 0.1596 0.5736  3 Co 1.82-1.86
O 0.5522 0.4447 0.2918  3 Co 1.82-1.86
O 0.8307 0.2997 0.4318  3 Co 1.83-1.86
O 0.0507 0.4478 0.7908  3 Co 1.82-1.86
O 0.6561 0.6916 0.0679  3 Co 1.85
O 0.8153 0.1298 0.6365  3 Co 1.83-1.87
O 0.9076 0.0104 0.2077  4 Co 1.89-2.01
O 0.7611 0.5869 0.6513  3 Co 1.85-1.86
O 0.4068 0.0159 0.7166  3 Co 1.82-1.86
O 0.4478 0.5553 0.7082  3 Co 1.82-1.86
Co 0.3671 0.0785 0.9259  6 O 1.82-1.90
Co 0.4296 0.7869 0.7126  6 O 1.83-1.95
Co 0.0821 0.2244 0.7823  6 O 1.82-1.89
Co 0.7033 0.6329 0.8579  6 O 1.82-1.89
Co 0.2967 0.3671 0.1421  6 O 1.82-1.89
Co 0.6329 0.9215 0.0741  6 O 1.82-1.90
Co 0.5000 0.5000 0.5000  6 O 1.85-1.86
Co 0.0000 0.0000 0.0000  6 O 2.01-2.05
Co 0.7862 0.3583 0.6442  6 O 1.85-1.86
Co 0.8593 0.0717 0.4279  6 O 1.83-1.94
Co 0.1407 0.9283 0.5721  6 O 1.83-1.94
Co 0.0000 0.5000 0.0000  6 O 1.85-1.91
Co 0.2138 0.6417 0.3558  6 O 1.85-1.86
Co 0.5704 0.2131 0.2874  6 O 1.83-1.95
Co 0.9179 0.7756 0.2177  6 O 1.82-1.89

Values from the calculation:
Formation energy without anion corrections in eV/atom: -1.12
DFT total energy in eV/cell: -482.0
Mass density in g cm⁻³: 5.2
V in Å³ per cell: 428.8
Fermi-level density of states in states/eV/f.u.: 26.72
Spin magnetization in μB per cell: 15.07



Record 5
First-principles (SCAN) data for Li8TbO6 at its PBEsol-relaxed geometry, as listed in Alexandria via LeMat-Bulk.

abc: 5.5556 5.5556 6.2083
angles: 63.42 63.42 60.00
Last column: nearest neighbours and their distance in Å.
Element x y z (fractional)
Li 0.3531 0.3531 0.9407  3 O 2.10
Li 0.4930 0.7737 0.6315  4 O 1.88-2.00
Li 0.6469 0.6469 0.0593  3 O 2.10
Li 0.7737 0.1018 0.6315  4 O 1.88-2.00
Li 0.5070 0.2263 0.3685  4 O 1.88-2.00
Li 0.1018 0.4930 0.6315  4 O 1.88-2.00
Li 0.2263 0.8982 0.3685  4 O 1.88-2.00
Li 0.8982 0.5070 0.3685  4 O 1.88-2.00
O 0.3989 0.1022 0.7427  5 Li 1.88-2.10
O 0.1022 0.7563 0.7427  5 Li 1.88-2.10
O 0.7563 0.3989 0.7427  5 Li 1.88-2.10
O 0.8978 0.2437 0.2573  5 Li 1.88-2.10
O 0.2437 0.6011 0.2573  5 Li 1.88-2.10
O 0.6011 0.8978 0.2573  5 Li 1.88-2.10
Tb 0.0000 0.0000 0.0000  6 O 2.25

Values from the calculation:
Formation energy without anion corrections in eV/atom: -2.19
DFT total energy in eV/cell: -136.2
Mass density in g cm⁻³: 3.6
V in Å³ per cell: 142.1
Fermi-level density of states in states/eV/f.u.: 8.06
Spin magnetization in μB per cell: 1.05



Record 6
First-principles (SCAN) data for CoAs2Pt at its PBEsol-relaxed geometry, as listed in Alexandria via LeMat-Bulk.

abc: 3.3015 4.2178 4.2212
angles: 90.00 90.00 90.00
Last column: nearest neighbours and their distance in Å.
Element x y z (fractional)
As 0.0000 0.5000 0.5000  4 Pt 2.68, 4 Co 2.68, 4 As 2.98
As 0.0000 0.0000 0.0000  4 Co 2.68, 4 Pt 2.68, 4 As 2.98
Pt 0.5000 0.0000 0.5000  8 As 2.68, 4 Co 2.98
Co 0.5000 0.5000 0.0000  8 As 2.68, 4 Pt 2.98

Values from the calculation:
DFT total energy in eV/cell: -127.7
Mass density in g cm⁻³: 11.4
V in Å³ per cell: 58.8
ΔH_f (0 K) in eV/atom: 0.047
Fermi-level density of states in states/eV/f.u.: 1.68
Spin magnetization in μB per cell: 1.71
Relative energy among the computed polymorphs in eV per atom: 0.066